Crystalline BaAl2Au at its relaxed geometry. Source: Alexandria via LeMat-Bulk, functional PBEsol.

The structure in POSCAR format:
```
BaAl2Au
1.0
-3.327 1.888 -2.194
-0.318 -3.561 -2.582
-3.273 -2.036 3.210
Au Ba Al
1 1 2
Direct
0.500 0.500 0.500 Au
0.000 0.000 0.500 Ba
0.000 0.500 0.000 Al
0.500 0.000 0.000 Al
```

For the spin magnetization, the calculation gives 0.00 Bohr magnetons per cell. The calculation puts the total energy at -14.19 eV for the cell shown. The value obtained for the density of states at the Fermi level is 2.16 states/eV/f.u. As for the energy of formation from the pure elements: 0.02 eV per atom.